No. 1
# Er6Ni5Os, optimized geometry, DFT PBE
data_Er6Ni5Os
_chemical_formula_sum 'Er6 Ni5 Os1'
_cell_length_a 4.765
_cell_length_b 6.655
_cell_length_c 7.519
_cell_angle_alpha 90.00
_cell_angle_beta 71.53
_cell_angle_gamma 90.00
_symmetry_space_group_name_H-M 'P 1'
_symmetry_Int_Tables_number 1
_symmetry_space_group_name_Hall 'P 1'
loop_
_atom_site_label
_atom_site_fract_x
_atom_site_fract_y
_atom_site_fract_z
_atom_site_occupancy
Er1 0.166 0.249 0.668 1
Er2 0.500 0.249 0.000 1
Er3 0.166 0.751 0.668 1
Er4 0.834 0.249 0.332 1
Er5 0.500 0.751 0.000 1
Er6 0.834 0.751 0.332 1
Os1 0.000 0.000 0.000 1
Ni1 0.000 0.500 0.000 1
Ni2 0.333 0.500 0.333 1
Ni3 0.334 0.000 0.332 1
Ni4 0.666 0.000 0.668 1
Ni5 0.667 0.500 0.667 1
# - SG = No. 65
# - DFT formation energy (eV/atom) = -0.4095
# - calculated density (g cm⁻³) = 10.92
# - magnetic moment (μB per formula unit) = 0.000

***

No. 2
# Li2ThPd9, optimized geometry, DFT PBE
data_Li2ThPd9
_chemical_formula_sum 'Li2 Th1 Pd9'
_cell_length_a 4.155
_cell_length_b 4.155
_cell_length_c 11.248
_cell_angle_alpha 90.00
_cell_angle_beta 90.00
_cell_angle_gamma 90.00
_symmetry_space_group_name_H-M 'P 1'
_symmetry_Int_Tables_number 1
_symmetry_space_group_name_Hall 'P 1'
loop_
_atom_site_label
_atom_site_fract_x
_atom_site_fract_y
_atom_site_fract_z
_atom_site_occupancy
Pd1 0.000 0.500 0.816 1
Pd2 0.500 0.500 0.656 1
Pd3 0.500 0.500 0.000 1
Pd4 0.500 0.000 0.184 1
Pd5 0.000 0.500 0.184 1
Pd6 0.500 0.500 0.344 1
Pd7 0.500 0.000 0.816 1
Pd8 0.000 0.500 0.500 1
Pd9 0.500 0.000 0.500 1
Li1 0.000 0.000 0.653 1
Li2 0.000 0.000 0.347 1
Th1 0.000 0.000 0.000 1
# - SG = No. 123
# - DFT formation energy (eV/atom) = -0.4885
# - calculated density (g cm⁻³) = 10.29
# - magnetic moment (μB per formula unit) = 0.000